Record 1
## CeSiAu6 (GGA-PBE)

Data for a geometry-optimized CeSiAu6 structure.

Energy relative to the elements, uncorrected   -0.16 eV per atom
Total magnetic moment   1.2 μB per formula unit
Space group   R-3m
Energy   -4.038 eV per atom

abc: 7.3336 7.3336 7.3336
angles: 46.00 46.00 46.00
Closest atoms and distances in Å follow each position.
Element x y z (fractional)
Ce: 0.0000 0.0000 0.0000  12 Au 3.24
Si: 0.5000 0.5000 0.5000  6 Au 2.46
Au: 0.0668 0.5814 0.5814  1 Si 2.46
Au: 0.4186 0.4186 0.9332  1 Si 2.46
Au: 0.4186 0.9332 0.4186  1 Si 2.46
Au: 0.5814 0.0668 0.5814  1 Si 2.46
Au: 0.5814 0.5814 0.0668  1 Si 2.46
Au: 0.9332 0.4186 0.4186  1 Si 2.46


Record 2
## Rb2BaAg2 (GGA-PBE)

Data for a geometry-optimized Rb2BaAg2 structure.

Total magnetic moment   0.0 μB per formula unit
ΔE to the lowest computed polymorph   0.031 eV/atom
Space group   I4/mmm
Energy   -1.852 eV per atom
Energy of formation from the pure elements   0.060 eV/atom

abc: 8.8148 8.8148 8.8148
angles: 145.86 145.86 49.06
Closest atoms and distances in Å follow each position.
Element x y z (fractional)
Rb: 0.2500 0.7500 0.5000  4 Rb 3.66, 4 Ag 3.69
Rb: 0.7500 0.2500 0.5000  4 Rb 3.66, 4 Ag 3.69
Ba: 0.0000 0.0000 0.0000  8 Ag 3.91
Ag: 0.4142 0.4142 0.0000  1 Ag 2.75
Ag: 0.5858 0.5858 0.0000  1 Ag 2.75


Record 3
## InPbN2 (GGA-PBE)

Data for a geometry-optimized InPbN2 structure.

Energy relative to the elements, uncorrected   1.36 eV per atom
Total magnetic moment   0.9 μB per formula unit
ΔE to the lowest computed polymorph   1.216 eV/atom
Space group   Fm-3m
Energy   -4.412 eV per atom

abc: 4.4028 4.4028 4.4028
angles: 60.00 60.00 60.00
Closest atoms and distances in Å follow each position.
Element x y z (fractional)
In: 0.0000 0.0000 0.0000  8 N 2.70
Pb: 0.5000 0.5000 0.5000  8 N 2.70
N: 0.2500 0.2500 0.2500  4 In 2.70, 4 Pb 2.70
N: 0.7500 0.7500 0.7500  4 In 2.70, 4 Pb 2.70


Record 4
## BMoRuC2 (GGA-PBE)

Data for a geometry-optimized BMoRuC2 structure.

Total magnetic moment   2.2 μB per formula unit
Space group   P4/mmm
Energy   -6.949 eV per atom
Energy of formation from the pure elements   2.097 eV/atom

abc: 4.0022 4.0022 4.1483
angles: 90.00 90.00 90.00
Closest atoms and distances in Å follow each position.
Element x y z (fractional)
B: 0.0000 0.0000 0.0000  2 Mo 2.07
Mo: 0.0000 0.0000 0.5000  4 C 2.00, 2 B 2.07
Ru: 0.5000 0.5000 0.0000  4 B 2.83, 8 C 2.88
C: 0.0000 0.5000 0.5000  2 Mo 2.00
C: 0.5000 0.0000 0.5000  2 Mo 2.00


Record 5
## CsTeS4 (GGA-PBE)

Data for a geometry-optimized CsTeS4 structure.

Energy relative to the elements, uncorrected   0.14 eV per atom
Total magnetic moment   0.0 μB per formula unit
ΔE to the lowest computed polymorph   0.386 eV/atom
Space group   P4/mmm
Energy   -3.279 eV per atom

abc: 4.2391 4.2391 9.2581
angles: 90.00 90.00 90.00
Closest atoms and distances in Å follow each position.
Element x y z (fractional)
Cs: 0.0000 0.0000 0.0000  8 S 3.54
Te: 0.5000 0.5000 0.5000  8 S 2.77
S: 0.0000 0.5000 0.3066  2 Te 2.77, 4 S 3.00
S: 0.0000 0.5000 0.6934  2 Te 2.77, 4 S 3.00
S: 0.5000 0.0000 0.3066  2 Te 2.77, 4 S 3.00
S: 0.5000 0.0000 0.6934  2 Te 2.77, 4 S 3.00


Record 6
## KSb2N2 (GGA-PBE)

Data for a geometry-optimized KSb2N2 structure.

Energy relative to the elements, uncorrected   0.97 eV per atom
Total magnetic moment   0.0 μB per formula unit
ΔE to the lowest computed polymorph   0.333 eV/atom
Space group   P4/mbm
Energy   -4.224 eV per atom

abc: 7.9125 7.9125 3.1578
angles: 90.00 90.00 90.00
Closest atoms and distances in Å follow each position.
Element x y z (fractional)
K: 0.0000 0.0000 0.0000  2 K 3.16, 4 N 3.17, 8 Sb 3.51
K: 0.5000 0.5000 0.0000  2 K 3.16, 4 N 3.17, 8 Sb 3.51
Sb: 0.1230 0.3770 0.5000  4 N 2.47, 1 Sb 2.75
Sb: 0.3770 0.8770 0.5000  4 N 2.47, 1 Sb 2.75
Sb: 0.6230 0.1230 0.5000  4 N 2.47, 1 Sb 2.75
Sb: 0.8770 0.6230 0.5000  4 N 2.47, 1 Sb 2.75
N: 0.1171 0.6171 0.0000  4 Sb 2.47, 1 N 2.62
N: 0.3829 0.1171 0.0000  4 Sb 2.47, 1 N 2.62
N: 0.6171 0.8829 0.0000  4 Sb 2.47, 1 N 2.62
N: 0.8829 0.3829 0.0000  4 Sb 2.47, 1 N 2.62


Record 7
## CsHgBi (GGA-PBE)

Data for a geometry-optimized CsHgBi structure.

Total magnetic moment   0.0 μB per formula unit
Space group   I4mm
Energy   -1.846 eV per atom
Energy of formation from the pure elements   -0.167 eV/atom

abc: 7.5117 7.5117 7.5117
angles: 146.12 146.12 48.66
Closest atoms and distances in Å follow each position.
Element x y z (fractional)
Cs: 0.0000 0.0000 0.0000  1 Hg 3.56, 1 Bi 3.80
Hg: 0.7398 0.7398 0.0000  4 Bi 3.14
Bi: 0.2779 0.2779 0.0000  4 Hg 3.14


Record 8
## DySc2Tl2Cd2 (GGA-PBE)

Data for a geometry-optimized DySc2Tl2Cd2 structure.

Total magnetic moment   0.5 μB per formula unit
Space group   R-3m
Energy   -3.540 eV per atom
Energy of formation from the pure elements   -0.136 eV/atom

abc: 8.8337 8.8337 8.8337
angles: 32.10 32.10 32.10
Closest atoms and distances in Å follow each position.
Element x y z (fractional)
Dy: 0.0000 0.0000 0.0000  6 Tl 3.26, 2 Sc 3.45
Sc: 0.1375 0.1375 0.1375  3 Cd 2.94, 3 Sc 3.18, 1 Tl 3.28
Sc: 0.8625 0.8625 0.8625  3 Cd 2.94, 3 Sc 3.18, 1 Tl 3.28
Tl: 0.2682 0.2682 0.2682  3 Cd 2.99, 3 Dy 3.26, 1 Sc 3.28
Tl: 0.7318 0.7318 0.7318  3 Cd 2.99, 3 Dy 3.26, 1 Sc 3.28
Cd: 0.4383 0.4383 0.4383  3 Sc 2.94, 3 Tl 2.99, 1 Cd 3.10
Cd: 0.5617 0.5617 0.5617  3 Sc 2.94, 3 Tl 2.99, 1 Cd 3.10


Record 9
## Cd3As2H2 (GGA-PBE)

Data for a geometry-optimized Cd3As2H2 structure.

Total magnetic moment   0.0 μB per formula unit
Space group   P-1
Energy   -2.575 eV per atom

abc: 4.4234 4.8302 7.9271
angles: 76.88 83.52 70.53
Closest atoms and distances in Å follow each position.
Element x y z (fractional)
Cd: 0.0000 0.0000 0.0000  2 H 2.39, 2 As 2.64
Cd: 0.2756 0.6953 0.5880  2 As 2.71-2.95, 1 Cd 2.74, 1 H 2.95
Cd: 0.7244 0.3047 0.4120  2 As 2.71-2.95, 1 Cd 2.74, 1 H 2.95
As: 0.2870 0.1413 0.2270  1 H 1.57
As: 0.7130 0.8587 0.7730  1 H 1.57
H: 0.1721 0.4825 0.1371  1 As 1.57
H: 0.8279 0.5175 0.8629  1 As 1.57


Record 10
## RbCuF5 (GGA-PBE)

Data for a geometry-optimized RbCuF5 structure.

Energy relative to the elements, uncorrected   -1.68 eV per atom
Total magnetic moment   0.0 μB per formula unit
Space group   C2/c
Energy   -3.742 eV per atom

abc: 6.7885 6.7885 7.8170
angles: 125.09 125.09 70.27
Closest atoms and distances in Å follow each position.
Element x y z (fractional)
Rb: 0.2482 0.7518 0.7500  8 F 2.89-2.90
Rb: 0.7518 0.2482 0.2500  8 F 2.89-2.90
Cu: 0.0000 0.5000 0.0000  6 F 1.80-1.97
Cu: 0.5000 0.0000 0.5000  6 F 1.80-1.97
F: 0.0040 0.4965 0.7706  1 Cu 1.80
F: 0.2317 0.2722 0.0057  1 Cu 1.80
F: 0.2471 0.7529 0.2500  2 Cu 1.97
F: 0.2722 0.2317 0.5057  1 Cu 1.80
F: 0.4965 0.0040 0.2706  1 Cu 1.80
F: 0.5035 0.9960 0.7294  1 Cu 1.80
F: 0.7278 0.7683 0.4943  1 Cu 1.80
F: 0.7529 0.2471 0.7500  2 Cu 1.97
F: 0.7683 0.7278 0.9943  1 Cu 1.80
F: 0.9960 0.5035 0.2294  1 Cu 1.80


Record 11
## ZrCd2Si (GGA-PBE)

Data for a geometry-optimized ZrCd2Si structure.

Energy relative to the elements, uncorrected   -0.06 eV per atom
Total magnetic moment   0.0 μB per formula unit
Space group   Cm
Energy   -4.011 eV per atom

abc: 5.3677 5.3677 5.6213
angles: 111.96 111.96 33.14
Closest atoms and distances in Å follow each position.
Element x y z (fractional)
Zr: 0.0000 0.0000 0.0000  3 Si 2.78-2.84, 2 Zr 3.06
Cd: 0.5381 0.5381 0.5370  5 Cd 2.83-3.06, 2 Si 2.94
Cd: 0.7739 0.7739 0.3967  5 Cd 2.83-3.06, 2 Si 2.91
Si: 0.2571 0.2571 0.9459  3 Zr 2.78-2.84, 4 Cd 2.91-2.94, 2 Si 3.06


Record 12
## NiBr3 (GGA-PBE)

Data for a geometry-optimized NiBr3 structure.

Energy relative to the elements, uncorrected   0.75 eV per atom
Total magnetic moment   1.5 μB per formula unit
Space group   P4/mmm
Energy   -1.953 eV per atom

abc: 5.1530 5.1530 3.4523
angles: 90.00 90.00 90.00
Closest atoms and distances in Å follow each position.
Element x y z (fractional)
Ni: 0.0000 0.0000 0.0000  8 Br 3.10, 2 Ni 3.45
Br: 0.0000 0.5000 0.5000  6 Br 3.10-3.45, 4 Ni 3.10
Br: 0.5000 0.0000 0.5000  6 Br 3.10-3.45, 4 Ni 3.10
Br: 0.5000 0.5000 0.0000  10 Br 3.10-3.45


Which formula does entry 7 have?
CsHgBi


energy of number 7 (CsHgBi)?
-1.846 eV per atom